# 1
An optimized crystal structure of AgAs2SeF, computed with GGA-PBE.

a b c (Å): 5.0342 5.0342 4.9912
angles (deg): 90.00 90.00 90.00
Fractional positions:
Ag  0.0000  0.0000  0.0000
As  0.0000  0.5000  0.0000
As  0.5000  0.0000  0.0000
Se  0.0000  0.0000  0.5000
F  0.5000  0.5000  0.5000

E above lowest polymorph ... 0.353 eV per atom

=====

# 2
An optimized crystal structure of SiAg2AsF, computed with GGA-PBE.

a b c (Å): 4.8795 4.8795 4.6369
angles (deg): 90.00 90.00 90.00
Fractional positions:
Si  0.0000  0.0000  0.0000
Ag  0.0000  0.5000  0.0000
Ag  0.5000  0.0000  0.0000
As  0.0000  0.0000  0.5000
F  0.5000  0.5000  0.5000

=====

# 3
An optimized crystal structure of SrAgAs2F, computed with GGA-PBE.

a b c (Å): 4.8975 4.8975 4.6740
angles (deg): 90.00 90.00 90.00
Fractional positions:
Sr  0.0000  0.0000  0.0000
Ag  0.5000  0.5000  0.0000
As  0.0000  0.5000  0.5000
As  0.5000  0.0000  0.5000
F  0.0000  0.0000  0.5000

=====

| no. | formation energy from raw total energies (eV/atom) |
| --- | --- |
| 1 | 0.692 |
| 2 | 0.160 |
| 3 | -0.510 |